LiTcNi2 at its PBEsol-relaxed geometry, computed with SCAN.

The calculation puts the energy of formation from the pure elements at 0.07 eV per atom.

It has space group P4/mmm (No. 123), with a = 2.5971 Å, b = 2.5971 Å, c = 6.9350 Å, α = 90.00°, β = 90.00° and γ = 90.00°. The inequivalent atoms are Li at (0.0000, 0.0000, 0.0000), Tc at (0.0000, 0.0000, 0.5000) and Ni at (0.5000, 0.5000, 0.2506).

***

LiTcNi2 at its PBEsol-relaxed geometry, computed with SCAN.

The calculation puts the energy of formation from the pure elements at 0.03 eV per atom.

It has space group Pmm2 (No. 25), with a = 2.4925 Å, b = 4.1607 Å, c = 4.4356 Å, α = 90.00°, β = 90.00° and γ = 90.00°. The inequivalent atoms are Li at (0.0000, 0.0000, 0.0000), Tc at (0.0000, 0.5000, 0.6312), Ni at (0.5000, 0.0000, 0.4799) and Ni at (0.5000, 0.5000, 0.1253).

***

LiTcNi2 at its PBEsol-relaxed geometry, computed with SCAN.

The calculation puts the energy of formation from the pure elements at 0.10 eV per atom.

It has space group P2/m (No. 10), with a = 2.5141 Å, b = 3.6387 Å, c = 5.0484 Å, α = 90.00°, β = 90.11° and γ = 90.00°. The inequivalent atoms are Li at (0.0000, 0.0000, 0.0000), Tc at (0.0000, 0.0000, 0.5000) and Ni at (0.4995, 0.5000, 0.2558).

***

LiNi2Te at its PBEsol-relaxed geometry, computed with SCAN.

For the total energy, the calculation gives -18.17 eV/atom.

It has space group I-4m2 (No. 119), with a = 3.7087 Å, b = 3.7087 Å, c = 7.5770 Å, α = 90.00°, β = 90.00° and γ = 90.00°. The inequivalent atoms are Li at (0.0000, 0.0000, 0.0000), Ni at (0.0000, 0.0000, 0.5000), Ni at (0.0000, 0.5000, 0.2500) and Te at (0.0000, 0.5000, 0.7500).